VASP calculation (GGA-PBE) on a relaxed structure of KHf2GeBi.

Summary:
The magnetic moment comes out at 0.0 μB/cell. As for the mass density: 6.34 Mg/m³.

Lattice parameters (Å, degrees): 5.462 5.948 5.462 90.00 90.00 90.00
Fractional coordinates of all 5 atoms:
Hf 0.500 0.000 0.000
Bi 0.000 0.000 0.000
K 0.000 0.500 0.000
Ge 0.500 0.500 0.500
Hf 0.000 0.000 0.500



VASP calculation (GGA-PBE) on a relaxed structure of HfGeBiO6.

Summary:
The magnetic moment comes out at 0.0 μB/cell. Its raw formation energy is -1.968 eV/atom. As for the mass density: 8.10 Mg/m³.

Lattice parameters (Å, degrees): 4.837 4.837 9.744 90.00 90.00 90.00
Fractional coordinates of all 18 atoms:
O 0.195 0.805 0.188
O 0.784 0.216 0.819
O 0.305 0.305 0.688
Hf 0.500 0.500 0.172
Ge 0.000 0.000 0.331
O 0.284 0.284 0.319
O 0.172 0.828 0.490
O 0.328 0.328 0.990
O 0.695 0.695 0.688
O 0.828 0.172 0.490
O 0.672 0.672 0.990
O 0.216 0.784 0.819
Bi 0.000 0.000 0.001
O 0.805 0.195 0.188
Ge 0.500 0.500 0.831
Hf 0.000 0.000 0.672
Bi 0.500 0.500 0.501
O 0.716 0.716 0.319



VASP calculation (GGA-PBE) on a relaxed structure of HfGe2BiO8.

Summary:
The magnetic moment comes out at 0.0 μB/cell. Its raw formation energy is -1.913 eV/atom. As for the mass density: 7.17 Mg/m³.

Lattice parameters (Å, degrees): 5.842 5.842 5.842 107.62 107.62 113.23
Fractional coordinates of all 12 atoms:
Ge 0.750 0.250 0.500
O 0.725 0.049 0.675
O 0.317 0.124 0.807
O 0.374 0.049 0.325
O 0.317 0.511 0.193
Hf 0.250 0.750 0.500
Ge 0.500 0.500 0.000
O 0.951 0.626 0.675
Bi 0.000 0.000 0.000
O 0.951 0.275 0.325
O 0.876 0.683 0.193
O 0.489 0.683 0.807



VASP calculation (GGA-PBE) on a relaxed structure of HfRe2GeBi.

Summary:
The magnetic moment comes out at 2.7 μB/cell. As for the mass density: 11.21 Mg/m³.

Lattice parameters (Å, degrees): 4.961 5.010 4.961 90.00 90.00 90.00
Site moments in Bohr magnetons follow the coordinates.
Fractional coordinates of all 5 atoms:
Ge 0.000 0.500 0.000  -0.01
Hf 0.000 0.000 0.000  -0.01
Bi 0.500 0.500 0.500  -0.13
Re 0.000 0.000 0.500  1.14
Re 0.500 0.000 0.000  1.34



VASP calculation (GGA-PBE) on a relaxed structure of Hf2SnGeBi.

Summary:
The magnetic moment comes out at 0.0 μB/cell. As for the mass density: 8.56 Mg/m³.

Lattice parameters (Å, degrees): 5.392 5.051 5.392 90.00 90.00 90.00
Fractional coordinates of all 5 atoms:
Ge 0.000 0.500 0.000
Hf 0.000 0.000 0.500
Sn 0.000 0.000 0.000
Hf 0.500 0.000 0.000
Bi 0.500 0.500 0.500



VASP calculation (GGA-PBE) on a relaxed structure of Hg2GeBi.

Summary:
The magnetic moment comes out at 0.0 μB/cell. As for the mass density: 11.08 Mg/m³.

Lattice parameters (Å, degrees): 5.250 5.250 5.250 60.00 60.00 60.00
Fractional coordinates of all 4 atoms:
Ge 0.000 0.000 0.000
Hg 0.750 0.750 0.750
Hg 0.250 0.250 0.250
Bi 0.500 0.500 0.500



VASP calculation (GGA-PBE) on a relaxed structure of Hg2GeBi.

Summary:
The magnetic moment comes out at 0.0 μB/cell. As for the mass density: 10.61 Mg/m³.

Lattice parameters (Å, degrees): 4.345 4.345 11.731 79.33 79.33 90.00
Fractional coordinates of all 8 atoms:
Ge 0.250 0.750 0.500
Bi 0.000 0.000 0.000
Hg 0.875 0.864 0.750
Bi 0.750 0.250 0.500
Hg 0.375 0.386 0.750
Hg 0.136 0.625 0.250
Ge 0.500 0.500 0.000
Hg 0.614 0.125 0.250



VASP calculation (GGA-PBE) on a relaxed structure of Hg2GeBi.

Summary:
The magnetic moment comes out at 0.0 μB/cell. As for the mass density: 10.52 Mg/m³.

Lattice parameters (Å, degrees): 3.286 3.286 11.684 81.92 81.92 60.00
Fractional coordinates of all 4 atoms:
Ge 0.000 0.000 0.000
Hg 0.081 0.081 0.756
Bi 0.500 0.500 0.500
Hg 0.919 0.919 0.244



VASP calculation (GGA-PBE) on a relaxed structure of Hg3GeBi.

Summary:
The magnetic moment comes out at 0.6 μB/cell. As for the mass density: 9.77 Mg/m³.

Lattice parameters (Å, degrees): 5.315 5.315 5.315 90.00 90.00 90.00
Site moments in Bohr magnetons follow the coordinates.
Fractional coordinates of all 5 atoms:
Hg 0.500 0.000 0.000  0.02
Hg 0.000 0.000 0.500  0.01
Hg 0.000 0.500 0.000  0.02
Ge 0.000 0.000 0.000  0.03
Bi 0.500 0.500 0.500  0.33



VASP calculation (GGA-PBE) on a relaxed structure of Hg3GeBi.

Summary:
The magnetic moment comes out at 2.0 μB/cell. As for the mass density: 7.33 Mg/m³.

Lattice parameters (Å, degrees): 5.849 5.849 5.849 90.00 90.00 90.00
Site moments in Bohr magnetons follow the coordinates.
Fractional coordinates of all 5 atoms:
Hg 0.000 0.500 0.000  0.02
Hg 0.000 0.000 0.500  0.01
Hg 0.500 0.000 0.000  0.04
Ge 0.500 0.500 0.500  0.62
Bi 0.000 0.000 0.000  0.02



VASP calculation (GGA-PBE) on a relaxed structure of Hg4GeBi2.

Summary:
The magnetic moment comes out at 0.0 μB/cell. As for the mass density: 9.54 Mg/m³.

Lattice parameters (Å, degrees): 5.510 5.510 8.371 70.78 70.78 90.00
Fractional coordinates of all 7 atoms:
Hg 0.186 0.186 0.628
Hg 0.000 0.500 0.000
Ge 0.000 0.000 0.000
Hg 0.500 0.000 0.000
Bi 0.612 0.612 0.777
Hg 0.814 0.814 0.372
Bi 0.388 0.388 0.223



VASP calculation (GGA-PBE) on a relaxed structure of HgGeBi3.

Summary:
The magnetic moment comes out at 0.0 μB/cell. As for the mass density: 8.13 Mg/m³.

Lattice parameters (Å, degrees): 5.686 5.686 5.686 90.00 90.00 90.00
Fractional coordinates of all 5 atoms:
Bi 0.500 0.000 0.000
Bi 0.000 0.000 0.500
Hg 0.000 0.000 0.000
Bi 0.000 0.500 0.000
Ge 0.500 0.500 0.500



VASP calculation (GGA-PBE) on a relaxed structure of HgGeBi3.

Summary:
The magnetic moment comes out at 0.0 μB/cell. As for the mass density: 8.52 Mg/m³.

Lattice parameters (Å, degrees): 5.599 5.599 5.599 90.00 90.00 90.00
Fractional coordinates of all 5 atoms:
Bi 0.000 0.500 0.000
Bi 0.000 0.000 0.500
Bi 0.500 0.000 0.000
Hg 0.500 0.500 0.500
Ge 0.000 0.000 0.000



VASP calculation (GGA-PBE) on a relaxed structure of InHgGeBi.

Summary:
The magnetic moment comes out at 0.0 μB/cell. As for the mass density: 9.34 Mg/m³.

Lattice parameters (Å, degrees): 5.315 5.315 5.315 60.00 60.00 60.00
Fractional coordinates of all 4 atoms:
Bi 0.500 0.500 0.500
Ge 0.250 0.250 0.250
Hg 0.750 0.750 0.750
In 0.000 0.000 0.000



VASP calculation (GGA-PBE) on a relaxed structure of LiHgGeBi.

Summary:
The magnetic moment comes out at 0.0 μB/cell. As for the mass density: 8.56 Mg/m³.

Lattice parameters (Å, degrees): 5.120 5.120 5.120 60.00 60.00 60.00
Fractional coordinates of all 4 atoms:
Li 0.500 0.500 0.500
Bi 0.250 0.250 0.250
Hg 0.750 0.750 0.750
Ge 0.000 0.000 0.000



VASP calculation (GGA-PBE) on a relaxed structure of MgHgGeBi.

Summary:
The magnetic moment comes out at 0.0 μB/cell. As for the mass density: 8.49 Mg/m³.

Lattice parameters (Å, degrees): 5.193 5.193 5.193 60.00 60.00 60.00
Fractional coordinates of all 4 atoms:
Ge 0.250 0.250 0.250
Mg 0.750 0.750 0.750
Bi 0.500 0.500 0.500
Hg 0.000 0.000 0.000



VASP calculation (GGA-PBE) on a relaxed structure of NaHgGeBi.

Summary:
The magnetic moment comes out at 0.0 μB/cell. As for the mass density: 8.10 Mg/m³.

Lattice parameters (Å, degrees): 5.272 5.272 5.272 60.00 60.00 60.00
Fractional coordinates of all 4 atoms:
Ge 0.750 0.750 0.750
Bi 0.500 0.500 0.500
Hg 0.000 0.000 0.000
Na 0.250 0.250 0.250



VASP calculation (GGA-PBE) on a relaxed structure of HgGeBiPb.

Summary:
The magnetic moment comes out at 0.0 μB/cell. As for the mass density: 10.45 Mg/m³.

Lattice parameters (Å, degrees): 5.370 5.370 5.370 60.00 60.00 60.00
Fractional coordinates of all 4 atoms:
Pb 0.000 0.000 0.000
Ge 0.250 0.250 0.250
Bi 0.500 0.500 0.500
Hg 0.750 0.750 0.750



VASP calculation (GGA-PBE) on a relaxed structure of PrHgGeBi.

Summary:
The magnetic moment comes out at 0.0 μB/cell. As for the mass density: 9.55 Mg/m³.

Lattice parameters (Å, degrees): 5.351 5.351 5.351 60.00 60.00 60.00
Fractional coordinates of all 4 atoms:
Hg 0.250 0.250 0.250
Bi 0.000 0.000 0.000
Pr 0.500 0.500 0.500
Ge 0.750 0.750 0.750



VASP calculation (GGA-PBE) on a relaxed structure of Hg2GeBiSe.

Summary:
The magnetic moment comes out at 0.0 μB/cell. Its raw formation energy is 0.631 eV/atom. As for the mass density: 6.91 Mg/m³.

Lattice parameters (Å, degrees): 5.656 5.718 5.656 90.00 90.00 90.00
Fractional coordinates of all 5 atoms:
Bi 0.000 0.000 0.000
Hg 0.000 0.000 0.500
Hg 0.500 0.000 0.000
Ge 0.000 0.500 0.000
Se 0.500 0.500 0.500



VASP calculation (GGA-PBE) on a relaxed structure of SnHgGeBi.

Summary:
The magnetic moment comes out at 0.0 μB/cell. As for the mass density: 9.49 Mg/m³.

Lattice parameters (Å, degrees): 5.298 5.298 5.298 60.00 60.00 60.00
Fractional coordinates of all 4 atoms:
Ge 0.250 0.250 0.250
Sn 0.500 0.500 0.500
Hg 0.750 0.750 0.750
Bi 0.000 0.000 0.000



VASP calculation (GGA-PBE) on a relaxed structure of SrHgGeBi.

Summary:
The magnetic moment comes out at 0.0 μB/cell. As for the mass density: 8.29 Mg/m³.

Lattice parameters (Å, degrees): 5.444 5.444 5.444 60.00 60.00 60.00
Fractional coordinates of all 4 atoms:
Hg 0.000 0.000 0.000
Ge 0.500 0.500 0.500
Bi 0.250 0.250 0.250
Sr 0.750 0.750 0.750



VASP calculation (GGA-PBE) on a relaxed structure of Sr2HgGeBi.

Summary:
The magnetic moment comes out at 1.8 μB/cell. As for the mass density: 4.71 Mg/m³.

Lattice parameters (Å, degrees): 6.369 5.719 6.369 90.00 90.00 90.00
Site moments in Bohr magnetons follow the coordinates.
Fractional coordinates of all 5 atoms:
Bi 0.000 0.000 0.000  0.06
Hg 0.000 0.500 0.000  0.03
Sr 0.000 0.000 0.500  0.03
Ge 0.500 0.500 0.500  0.49
Sr 0.500 0.000 0.000  0.02



VASP calculation (GGA-PBE) on a relaxed structure of Tc2HgGeBi.

Summary:
The magnetic moment comes out at 6.4 μB/cell. As for the mass density: 8.36 Mg/m³.

Lattice parameters (Å, degrees): 5.220 4.946 5.220 90.00 90.00 90.00
Site moments in Bohr magnetons follow the coordinates.
Fractional coordinates of all 5 atoms:
Tc 0.500 0.000 0.000  2.67
Bi 0.500 0.500 0.500  -0.19
Ge 0.000 0.500 0.000  -0.01
Hg 0.000 0.000 0.000  0.00
Tc 0.000 0.000 0.500  3.08



VASP calculation (GGA-PBE) on a relaxed structure of HgGeBiTe3.

Summary:
The magnetic moment comes out at 0.0 μB/cell. Its raw formation energy is -0.066 eV/atom. As for the mass density: 6.55 Mg/m³.

Lattice parameters (Å, degrees): 4.512 10.212 9.762 103.00 90.00 90.00
Fractional coordinates of all 12 atoms:
Bi 0.750 0.342 0.882
Hg 0.750 0.814 0.757
Te 0.750 0.873 0.087
Te 0.750 0.185 0.509
Te 0.250 0.127 0.913
Ge 0.250 0.085 0.630
Te 0.250 0.534 0.811
Te 0.750 0.466 0.189
Hg 0.250 0.186 0.243
Bi 0.250 0.658 0.118
Te 0.250 0.815 0.491
Ge 0.750 0.915 0.370



VASP calculation (GGA-PBE) on a relaxed structure of TiHgGe2Bi.

Summary:
The magnetic moment comes out at 0.0 μB/cell. As for the mass density: 7.27 Mg/m³.

Lattice parameters (Å, degrees): 5.087 5.316 5.087 90.00 90.00 90.00
Fractional coordinates of all 5 atoms:
Ti 0.000 0.500 0.000
Hg 0.000 0.000 0.000
Ge 0.500 0.000 0.000
Bi 0.500 0.500 0.500
Ge 0.000 0.000 0.500



VASP calculation (GGA-PBE) on a relaxed structure of TlHgGeBi.

Summary:
The magnetic moment comes out at 0.0 μB/cell. As for the mass density: 10.39 Mg/m³.

Lattice parameters (Å, degrees): 5.374 5.374 5.374 60.00 60.00 60.00
Fractional coordinates of all 4 atoms:
Bi 0.000 0.000 0.000
Tl 0.500 0.500 0.500
Ge 0.250 0.250 0.250
Hg 0.750 0.750 0.750



VASP calculation (GGA-PBE) on a relaxed structure of TlHgGeBi2.

Summary:
The magnetic moment comes out at 0.0 μB/cell. As for the mass density: 7.79 Mg/m³.

Lattice parameters (Å, degrees): 5.978 5.339 5.978 90.00 90.00 90.00
Fractional coordinates of all 5 atoms:
Hg 0.500 0.500 0.500
Tl 0.000 0.000 0.000
Bi 0.000 0.000 0.500
Ge 0.000 0.500 0.000
Bi 0.500 0.000 0.000



| no. | DFT total energy (eV/atom) |
| --- | --- |
| 1 | -4.68 |
| 2 | -7.32 |
| 3 | -7.14 |
| 4 | -6.91 |
| 5 | -5.54 |
| 6 | -2.01 |
| 7 | -2.09 |
| 8 | -2.04 |
| 9 | -1.50 |
| 10 | -1.20 |
| 11 | -1.67 |
| 12 | -2.45 |
| 13 | -2.78 |
| 14 | -2.70 |
| 15 | -2.74 |
| 16 | -2.51 |
| 17 | -2.56 |
| 18 | -2.95 |
| 19 | -3.65 |
| 20 | -1.89 |
| 21 | -3.00 |
| 22 | -2.88 |
| 23 | -2.33 |
| 24 | -4.19 |
| 25 | -3.10 |
| 26 | -3.39 |
| 27 | -2.62 |
| 28 | -2.21 |